MgGaIr2: relaxed, PBE.

Computed properties:
ΔE_f   -0.451 eV/atom
Calculated volume   231.8 Å³/cell
E_tot   -96.6 eV/cell

Lattice parameters (Å, degrees): 6.1430 6.1430 6.1430 90.00 90.00 90.00
Last column: nearest neighbours and their distance in Å.
Space group Fm-3m (No. 225)
Asymmetric unit:
Mg  0.0000  0.0000  0.0000  8 Ir 2.66
Ga  0.0000  0.0000  0.5000  8 Ir 2.66
Ir  0.2500  0.2500  0.2500  4 Mg 2.66, 4 Ga 2.66